DFT (GGA-PBEsol) results for a relaxed BeNiCl2 crystal.

The value obtained for the size of the total moment is 0.05 μB per atom. The polymorph energy (0 for the lowest one) comes out at 367 kJ/mol of formula units. As for the formation energy without anion corrections: 0.667 eV/atom.

It has space group F-43m (No. 216), with a = 6.1260 Å, b = 6.1260 Å, c = 6.1260 Å, α = 90.00°, β = 90.00° and γ = 90.00°. The distinct sites, in fractional coordinates, are Be at (0.0000, 0.0000, 0.0000), Ni at (0.2500, 0.2500, 0.7500), Cl at (0.0000, 0.0000, 0.5000) and Cl at (0.2500, 0.2500, 0.2500).

DFT (GGA-PBEsol) results for a relaxed Ba3ErIrRuO9 crystal.

The value obtained for the size of the total moment is 0.09 μB per atom. As for the formation energy without anion corrections: -2.239 eV/atom.

It has space group P6_3mc (No. 186), with a = 5.8418 Å, b = 5.8418 Å, c = 14.4195 Å, α = 90.00°, β = 90.00° and γ = 120.00°. The distinct sites, in fractional coordinates, are Ba at (0.0000, 0.0000, 0.0000), Ba at (0.3333, 0.6667, 0.1591), Ba at (0.3333, 0.6667, 0.8433), Er at (0.0000, 0.0000, 0.2504), Ir at (0.3333, 0.6667, 0.4143), Ru at (0.3333, 0.6667, 0.5870), O at (0.0186, 0.5093, 0.5012), O at (0.1754, 0.3509, 0.3351) and O at (0.1761, 0.3522, 0.6624).

DFT (GGA-PBEsol) results for a relaxed Sc2MnMo crystal.

The value obtained for the size of the total moment is 0.00 μB per atom. The polymorph energy (0 for the lowest one) comes out at 0 kJ/mol of formula units. The energy relative to the elements comes out at 0.038 eV/atom.

It has space group P4mm (No. 99), with a = 3.0202 Å, b = 3.0202 Å, c = 7.6038 Å, α = 90.00°, β = 90.00° and γ = 90.00°. The distinct sites, in fractional coordinates, are Sc at (0.0000, 0.0000, 0.0000), Sc at (0.5000, 0.5000, 0.3530), Mn at (0.0000, 0.0000, 0.5764) and Mo at (0.5000, 0.5000, 0.7480).